Entry from the Alexandria database: crystalline Y2ZnSe at its relaxed geometry (PBE).

The density of states at the Fermi level comes out at 6.78 states/eV per cell. Its calculated total energy is -5.114 eV per atom. The size of the total moment is 0.000 Bohr magnetons per cell. As for the energy above the most stable polymorph in this dataset: 391 meV/atom. The value obtained for the uncorrected formation energy is -0.6920 eV/atom.

It has space group I-4m2 (No. 119), with a = 4.1520 Å, b = 4.1520 Å, c = 11.2586 Å, α = 90.00°, β = 90.00° and γ = 90.00°. The asymmetric unit holds Y at (0.0000, 0.0000, 0.0000), Y at (0.0000, 0.5000, 0.2500), Zn at (0.0000, 0.5000, 0.7500) and Se at (0.0000, 0.0000, 0.5000).

Entry from the Alexandria database: crystalline Y2ZnSe at its relaxed geometry (PBE).

The density of states at the Fermi level comes out at 3.15 states/eV per cell. Its calculated total energy is -5.273 eV per atom. The size of the total moment is 0.000 Bohr magnetons per cell. As for the energy above the most stable polymorph in this dataset: 231 meV/atom. The value obtained for the uncorrected formation energy is -0.8518 eV/atom.

It has space group P2/m (No. 10), with a = 3.5930 Å, b = 3.5900 Å, c = 7.1005 Å, α = 90.00°, β = 90.10° and γ = 90.00°. The asymmetric unit holds Y at (0.0002, 0.0000, 0.2498), Zn at (0.5000, 0.5000, 0.0000) and Se at (0.5000, 0.5000, 0.5000).

Entry from the Alexandria database: crystalline Y2ZnSe at its relaxed geometry (PBE).

The density of states at the Fermi level comes out at 10.54 states/eV per cell. Its calculated total energy is -5.095 eV per atom. The size of the total moment is 0.000 Bohr magnetons per cell. As for the energy above the most stable polymorph in this dataset: 409 meV/atom. The value obtained for the uncorrected formation energy is -0.6737 eV/atom.

It has space group Fm-3m (No. 225), with a = 7.1840 Å, b = 7.1840 Å, c = 7.1840 Å, α = 90.00°, β = 90.00° and γ = 90.00°. The asymmetric unit holds Y at (0.2500, 0.2500, 0.2500), Zn at (0.0000, 0.0000, 0.0000) and Se at (0.0000, 0.0000, 0.5000).